BeAlHg4 | the Alexandria database | PBE-GGA | optimized geometry; DFT total energy = -4.59 eV for the cell shown; mass density = 9.38 g cm⁻³; symmetry = F-43m, No. 216
1.0
0.0000 4.2019 4.2019
4.2019 0.0000 4.2019
4.2019 4.2019 0.0000
Be Al Hg
1 1 4
direct
0.0000 0.0000 0.0000
0.2500 0.2500 0.2500
0.1243 0.6252 0.6252
0.6252 0.1243 0.6252
0.6252 0.6252 0.1243
0.6252 0.6252 0.6252